VASP calculation (PBE) on a relaxed TiTcAs2Br crystal.

Unit cell a=4.932 b=4.932 c=4.986 alpha=90.00 beta=90.00 gamma=90.00
Space group P4/mmm (No. 123)
One atom of each set of equivalent atoms:
Ti 0.000 0.000 0.000
Tc 0.500 0.500 0.500
As 0.000 0.500 0.000
Br 0.000 0.000 0.500

Calculated values
The volume is 24.3 Å³/atom. Its raw formation energy is 661 meV/atom. For the density of states at the Fermi level, the calculation gives 3.338 states/eV/f.u.